Entry w
Sm4Si2O | Alexandria via LeMat-Bulk | PBE | relaxed; volume = 356.1 Å³ per cell
1.0
-6.415 -1.902 -0.095
1.896 -6.418 0.492
2.211 1.262 7.944
Sm O Si
8 2 4
direct
0.499 0.000 0.259
0.082 0.750 0.911
0.918 0.250 0.089
0.940 0.250 0.628
0.060 0.750 0.372
0.501 0.500 0.741
0.499 0.500 0.259
0.501 0.000 0.741
0.265 0.750 0.192
0.735 0.250 0.808
0.748 0.750 0.565
0.252 0.250 0.435
0.282 0.250 0.951
0.718 0.750 0.049

=====

Entry x
Sm4Si2O | Alexandria via LeMat-Bulk | PBE | relaxed; volume = 169.2 Å³ per cell
1.0
-4.576 0.195 0.521
-0.411 -4.092 -2.082
3.139 -1.701 7.827
O Sm Si
1 4 2
direct
0.000 0.000 0.000
0.500 0.000 0.000
0.000 0.500 0.000
0.178 0.178 0.356
0.822 0.822 0.644
0.636 0.636 0.272
0.364 0.364 0.728

=====

Energetically preferred structure: entry w | next structure: +0.007 eV/atom

=====

Entry w
SiSnO2 | Alexandria via LeMat-Bulk | PBE | relaxed; volume = 57.3 Å³ per cell
1.0
2.625 6.063 2.260
3.928 3.970 4.192
5.177 4.483 1.366
O Si Sn
2 1 1
direct
0.081 0.081 0.081
0.919 0.919 0.919
0.000 0.000 0.000
0.500 0.500 0.500

=====

Entry x
SiSnO2 | Alexandria via LeMat-Bulk | PBE | relaxed; volume = 112.8 Å³ per cell
1.0
5.432 0.000 0.000
0.000 5.432 0.000
2.716 2.716 3.821
O Si Sn
4 2 2
direct
0.375 0.125 0.250
0.375 0.625 0.750
0.375 0.625 0.250
0.875 0.625 0.750
0.500 0.500 0.000
0.250 0.750 0.500
0.000 0.000 0.000
0.750 0.250 0.500

=====

Entry y
SiSnO2 | Alexandria via LeMat-Bulk | PBE | relaxed; volume = 53.1 Å³ per cell
1.0
2.815 -2.637 1.708
-0.081 -0.775 4.146
-1.236 -3.777 1.416
Si O Sn
1 2 1
direct
0.000 0.000 0.000
0.750 0.750 0.750
0.250 0.250 0.250
0.500 0.500 0.500

=====

Energetically preferred structure: entry x | next structure: +0.553 eV/atom

=====

Entry w
Si2Sn2O | Alexandria via LeMat-Bulk | PBE | relaxed; volume = 94.0 Å³ per cell
1.0
-1.519 2.858 1.068
-1.938 0.018 -2.804
-7.323 -2.968 2.969
Si O Sn
2 1 2
direct
0.750 0.250 0.500
0.250 0.750 0.500
0.000 0.000 0.000
0.590 0.590 0.820
0.410 0.410 0.180

=====

Entry x
Si2Sn2O | Alexandria via LeMat-Bulk | PBE | relaxed; volume = 201.6 Å³ per cell
1.0
-3.331 -5.398 2.417
3.329 -4.004 -4.355
3.152 -0.613 2.973
Sn O Si
4 2 4
direct
0.715 0.215 0.000
0.785 0.715 0.000
0.285 0.785 0.000
0.215 0.285 0.000
0.000 0.000 0.000
0.500 0.500 0.000
0.117 0.617 0.500
0.383 0.117 0.500
0.883 0.383 0.500
0.617 0.883 0.500

=====

Energetically preferred structure: entry w | next structure: +0.052 eV/atom

=====

Entry w
Si2SnO | Alexandria via LeMat-Bulk | PBE | relaxed; volume = 142.5 Å³ per cell
1.0
4.775 0.000 0.000
0.000 4.775 0.000
2.387 2.387 6.251
O Si Sn
2 4 2
direct
0.250 0.750 0.500
0.500 0.500 0.000
0.476 0.125 0.250
0.875 0.726 0.750
0.274 0.625 0.250
0.375 0.524 0.750
0.750 0.250 0.500
0.000 0.000 0.000

=====

Entry x
Si2SnO | Alexandria via LeMat-Bulk | PBE | relaxed; volume = 63.9 Å³ per cell
1.0
-3.226 -2.878 -1.202
-3.555 1.456 -2.319
-0.490 -1.148 -4.310
Si Sn O
2 1 1
direct
0.250 0.250 0.250
0.750 0.750 0.750
0.500 0.500 0.500
0.000 0.000 0.000

=====

Energetically preferred structure: entry w | next structure: +0.661 eV/atom

=====

Entry w
Sr2SiO | Alexandria via LeMat-Bulk | PBE | relaxed; volume = 222.1 Å³ per cell
1.0
-0.464 -5.843 4.164
7.120 0.138 0.987
2.801 -0.349 6.029
Si Sr O
2 4 2
direct
0.000 0.000 0.000
0.750 0.250 0.500
0.534 0.125 0.250
0.216 0.625 0.250
0.875 0.784 0.750
0.375 0.466 0.750
0.500 0.500 0.000
0.250 0.750 0.500

=====

Entry x
Sr2SiO | Alexandria via LeMat-Bulk | PBE | relaxed; volume = 96.8 Å³ per cell
1.0
0.000 3.644 3.644
3.644 0.000 3.644
3.644 3.644 0.000
Sr Si O
2 1 1
direct
0.250 0.250 0.250
0.750 0.750 0.750
0.500 0.500 0.500
0.000 0.000 0.000

=====

Energetically preferred structure: entry w | next structure: +0.605 eV/atom

=====

Entry w
Ta2SiO | Alexandria via LeMat-Bulk | PBE | relaxed; volume = 55.9 Å³ per cell
1.0
0.000 3.035 3.035
3.035 0.000 3.035
3.035 3.035 0.000
Ta O Si
2 1 1
direct
0.750 0.750 0.750
0.250 0.250 0.250
0.000 0.000 0.000
0.500 0.500 0.500

=====

Entry x
Ta2SiO | Alexandria via LeMat-Bulk | PBE | relaxed; volume = 140.9 Å³ per cell
1.0
4.907 0.000 0.000
0.000 4.907 0.000
2.453 2.453 5.852
O Ta Si
2 4 2
direct
0.250 0.750 0.500
0.500 0.500 0.000
0.375 0.467 0.750
0.875 0.783 0.750
0.533 0.125 0.250
0.217 0.625 0.250
0.000 0.000 0.000
0.750 0.250 0.500

=====

Energetically preferred structure: entry w | next structure: +0.029 eV/atom

=====

Entry w
Tb2SiO5 | Alexandria via LeMat-Bulk | PBE | relaxed; volume = 446.4 Å³ per cell
1.0
6.421 0.000 2.374
2.651 7.109 2.701
0.056 -0.328 9.720
Tb O Si
8 20 4
direct
0.709 0.107 0.967
0.291 0.893 0.033
0.783 0.393 0.533
0.217 0.607 0.467
0.525 0.051 0.663
0.475 0.949 0.337
0.238 0.449 0.837
0.762 0.551 0.163
0.577 0.637 0.396
0.596 0.418 0.823
0.850 0.269 0.325
0.871 0.468 0.933
0.098 0.456 0.362
0.404 0.582 0.177
0.610 0.863 0.104
0.837 0.082 0.677
0.423 0.363 0.604
0.150 0.731 0.675
0.084 0.956 0.862
0.916 0.044 0.138
0.444 0.231 0.175
0.129 0.532 0.067
0.902 0.544 0.638
0.728 0.968 0.433
0.163 0.918 0.323
0.272 0.032 0.567
0.390 0.137 0.896
0.556 0.769 0.825
0.908 0.057 0.306
0.271 0.443 0.194
0.092 0.943 0.694
0.729 0.557 0.806

=====

Entry x
Tb2SiO5 | Alexandria via LeMat-Bulk | PBE | relaxed; volume = 413.8 Å³ per cell
1.0
-5.324 -0.120 4.489
-4.104 -2.165 -4.925
0.337 -9.152 0.155
O Tb Si
20 8 4
direct
0.453 0.768 0.372
0.279 0.528 0.602
0.865 0.510 0.115
0.135 0.490 0.885
0.428 0.155 0.293
0.953 0.732 0.628
0.572 0.845 0.707
0.381 0.557 0.115
0.072 0.655 0.293
0.928 0.345 0.707
0.547 0.232 0.628
0.779 0.972 0.398
0.047 0.268 0.372
0.635 0.010 0.115
0.881 0.943 0.885
0.365 0.990 0.885
0.221 0.028 0.602
0.619 0.443 0.885
0.119 0.057 0.115
0.721 0.472 0.398
0.625 0.732 0.972
0.125 0.768 0.028
0.875 0.232 0.972
0.641 0.567 0.622
0.375 0.268 0.028
0.859 0.067 0.622
0.359 0.433 0.378
0.141 0.933 0.378
0.411 0.030 0.701
0.911 0.470 0.299
0.089 0.530 0.701
0.589 0.970 0.299

=====

Energetically preferred structure: entry w | next structure: +0.020 eV/atom

=====

Entry w
Tb4Si2O | Alexandria via LeMat-Bulk | PBE | relaxed; volume = 158.8 Å³ per cell
1.0
-2.950 1.004 3.251
0.958 -3.884 2.068
6.674 4.999 1.394
Tb Si O
4 2 1
direct
0.500 0.000 0.000
0.000 0.500 0.000
0.177 0.177 0.355
0.823 0.823 0.645
0.636 0.636 0.272
0.364 0.364 0.728
0.000 0.000 0.000

=====

Entry x
Tb4Si2O | Alexandria via LeMat-Bulk | PBE | relaxed; volume = 333.6 Å³ per cell
1.0
-1.964 -6.199 -0.271
3.445 -0.849 -5.529
6.991 0.303 4.309
Tb Si O
8 4 2
direct
0.062 0.750 0.373
0.497 0.500 0.739
0.912 0.250 0.088
0.503 0.500 0.261
0.938 0.250 0.627
0.497 0.000 0.739
0.088 0.750 0.912
0.503 0.000 0.261
0.250 0.250 0.433
0.285 0.250 0.953
0.750 0.750 0.567
0.715 0.750 0.047
0.265 0.750 0.193
0.735 0.250 0.807

=====

Energetically preferred structure: entry x | next structure: +0.018 eV/atom